Entry 1:
## KCd4 (PBE)

Data for KCd4 after structural relaxation.

```
KCd4
1.0
-6.448 -1.617 -4.203
3.388 3.093 -6.388
3.615 -5.693 4.002
K Cd
2 8
Direct
0.750 0.250 0.500 K
0.250 0.750 0.500 K
0.750 0.250 0.000 Cd
0.000 0.000 0.000 Cd
0.250 0.250 0.000 Cd
0.250 0.750 0.000 Cd
0.500 0.500 0.000 Cd
0.250 0.250 0.500 Cd
0.750 0.750 0.000 Cd
0.750 0.750 0.500 Cd
```

Output
- E above lowest polymorph: 74.4 kJ/mol of formula units
- DFT formation energy: 8.3 kJ/mol of atoms

Entry 2:
## Li2TaSi (PBE)

Data for Li2TaSi after structural relaxation.

```
Li2TaSi
1.0
-5.127 -1.532 -0.593
2.399 0.394 4.804
-0.783 2.549 0.182
Li Si Ta
2 1 1
Direct
0.500 0.500 0.000 Li
0.000 0.000 0.000 Li
0.500 0.000 0.500 Si
0.000 0.500 0.500 Ta
```

Output
- Uncorrected formation energy: 0.207 eV per atom

| no. | energy (eV per cell) |
| --- | --- |
| 1 | -8.65 |
| 2 | -20.28 |